(1)
## LaTiBe2 (SCAN)

Data for a crystal of LaTiBe2 relaxed with PBEsol.

a = 4.6043 Å, b = 4.6043 Å, c = 4.6043 Å
α = 60.00°, β = 60.00°, γ = 60.00°
Last column: nearest neighbours and their distance in Å.
Element x y z (fractional)
Be: 0.7500 0.7500 0.7500  4 La 2.82, 4 Ti 2.82
Be: 0.2500 0.2500 0.2500  4 Ti 2.82, 4 La 2.82
La: 0.5000 0.5000 0.5000  8 Be 2.82
Ti: 0.0000 0.0000 0.0000  8 Be 2.82

Results
Symmetry   Fm-3m (225)
Formation energy from the elements   350 meV/atom



(2)
## ZrCoN2 (SCAN)

Data for a crystal of ZrCoN2 relaxed with PBEsol.

a = 3.0672 Å, b = 3.0672 Å, c = 5.9722 Å
α = 75.12°, β = 75.12°, γ = 60.00°
Last column: nearest neighbours and their distance in Å.
Element x y z (fractional)
Co: 0.5000 0.5000 0.5000  6 N 1.94
Zr: 0.0000 0.0000 0.0000  2 N 2.05
N: 0.8800 0.8800 0.3602  3 Co 1.94, 1 Zr 2.05
N: 0.1200 0.1200 0.6398  3 Co 1.94, 1 Zr 2.05

Results
Symmetry   R-3m (166)
ΔE_f (raw)   0.67 eV/f.u.



(3)
## SbOs2W (SCAN)

Data for a crystal of SbOs2W relaxed with PBEsol.

a = 2.9255 Å, b = 3.8257 Å, c = 5.6623 Å
α = 90.00°, β = 90.01°, γ = 90.00°
Last column: nearest neighbours and their distance in Å.
Element x y z (fractional)
W: 0.5000 0.5000 0.5000  8 Os 2.75, 2 Sb 2.83, 2 W 2.93
Os: 0.0000 0.0000 0.7360  4 Os 2.67-2.99, 4 W 2.75, 4 Sb 2.83
Os: 0.0000 0.0000 0.2640  4 Os 2.67-2.99, 4 W 2.75, 4 Sb 2.83
Sb: 0.5000 0.5000 0.0000  2 W 2.83, 8 Os 2.83, 2 Sb 2.93

Results
Symmetry   Pmmm (47)
ΔE_f (raw)   2.01 eV/f.u.



(4)
## Mg2ZnBiBr (SCAN)

Data for a crystal of Mg2ZnBiBr relaxed with PBEsol.

a = 5.2068 Å, b = 5.2068 Å, c = 4.9761 Å
α = 90.00°, β = 90.00°, γ = 90.00°
Last column: nearest neighbours and their distance in Å.
Element x y z (fractional)
Zn: 0.0000 0.0000 0.0000  2 Br 2.49, 4 Mg 2.60
Br: 0.0000 0.0000 0.5000  2 Zn 2.49
Bi: 0.5000 0.5000 0.5000  8 Mg 3.60, 4 Br 3.68
Mg: 0.0000 0.5000 0.0000  2 Zn 2.60
Mg: 0.5000 0.0000 0.0000  2 Zn 2.60

Results
Symmetry   P4/mmm (123)
ΔE_f (raw)   1.42 eV/f.u.



(5)
## TiGeRh2C (SCAN)

Data for a crystal of TiGeRh2C relaxed with PBEsol.

a = 3.8590 Å, b = 3.8590 Å, c = 4.6837 Å
α = 90.00°, β = 90.00°, γ = 90.00°
Last column: nearest neighbours and their distance in Å.
Element x y z (fractional)
Rh: 0.0000 0.5000 0.0000  2 C 1.93
Rh: 0.5000 0.0000 0.0000  2 C 1.93
C: 0.0000 0.0000 0.0000  4 Rh 1.93
Ge: 0.0000 0.0000 0.5000  2 C 2.34
Ti: 0.5000 0.5000 0.5000  4 Ge 2.73, 8 Rh 3.03

Results
Symmetry   P4/mmm (123)
Formation energy from the elements   100 meV/atom



(6)
## BaMg2Fe (SCAN)

Data for a crystal of BaMg2Fe relaxed with PBEsol.

a = 3.5260 Å, b = 3.5260 Å, c = 8.0634 Å
α = 90.00°, β = 90.00°, γ = 90.00°
Last column: nearest neighbours and their distance in Å.
Element x y z (fractional)
Mg: 0.0000 0.0000 0.0448  4 Fe 2.71
Mg: 0.5000 0.5000 0.8180  1 Fe 2.89, 4 Mg 3.09
Fe: 0.5000 0.5000 0.1764  5 Mg 2.71-2.89
Ba: 0.0000 0.0000 0.4608  1 Mg 3.35, 4 Fe 3.39, 4 Ba 3.53

Results
Symmetry   P4mm (99)
Formation energy from the elements   353 meV/atom



| no. | uncorrected energy (eV/cell) |
| --- | --- |
| 1 | -66.44 |
| 2 | -65.91 |
| 3 | -248.70 |
| 4 | -120.09 |
| 5 | -112.26 |
| 6 | -66.21 |